Computed, not measured: crystalline Ba2NdMnO5 at its relaxed geometry at the PBE with a Hubbard U level of DFT.

Output
Calculated total energy: -0.25724 Ha/atom
M_tot: 16.00 μB per cell
Crystal system: orthorhombic

a = 3.7190 Å, b = 14.6166 Å, c = 12.2121 Å
α = 90.00°, β = 90.00°, γ = 90.00°
Space group Cmc2_1 (No. 36)
Unique sites:
Ba 0.0000 0.0897 0.0000 [4 per cell]
Ba 0.0000 0.1445 0.6849 [4 per cell]
Nd 0.0000 0.2038 0.3965 [4 per cell]
Mn 0.0000 0.4456 0.7564 [4 per cell]
O 0.0000 0.0404 0.3067 [4 per cell]
O 0.0000 0.2758 0.0192 [4 per cell]
O 0.0000 0.3159 0.7736 [4 per cell]
O 0.0000 0.3535 0.3560 [4 per cell]
O 0.0000 0.4891 0.1227 [4 per cell]